Density functional theory data (PBE-GGA) for a relaxed structure of PrNd4Mg.

Lattice parameters (Å, degrees): 3.709 3.709 14.661 90.00 90.00 90.00
Fractional coordinates of all 6 atoms:
Pr (0.000, 0.000, 0.000)
Nd (0.500, 0.500, 0.179)
Nd (0.000, 0.000, 0.648)
Nd (0.000, 0.000, 0.352)
Nd (0.500, 0.500, 0.821)
Mg (0.500, 0.500, 0.500)

Results
ΔE to the lowest computed polymorph: 0.000 eV/atom
Calculated volume: 202 Å³/cell
Energy of formation: -25 meV per atom
Raw total energy: -25.6 eV for the cell shown
Space group: No. 123